Record 1
# LiLa2Sc, PBEsol geometry, DFT meta-GGA SCAN
data_LiLa2Sc
_cell_length_a 6.4696
_cell_length_b 6.4696
_cell_length_c 6.4696
_cell_angle_alpha 147.86
_cell_angle_beta 129.54
_cell_angle_gamma 61.09
_space_group_name_H-M_alt 'P 1'
_space_group_IT_number 1
loop_
_space_group_symop_operation_xyz
'x,y,z'
loop_
_atom_site_label
_atom_site_type_symbol
_atom_site_fract_x
_atom_site_fract_y
_atom_site_fract_z
Li1 Li 0.0000 0.0000 0.0000
La1 La 0.2269 0.7269 0.5000
La2 La 0.7731 0.2731 0.5000
Sc1 Sc 0.5000 0.5000 0.0000
# raw total energy	-25.558	eV/atom
# spin magnetization	0.0	μB per cell
# offset from the most stable computed form	1.707	kcal/mol of atoms
# calculated volume	27.5	A^3/atom

---

Record 2
# K2PtI5, PBEsol geometry, DFT meta-GGA SCAN
data_K2PtI5
_cell_length_a 7.5925
_cell_length_b 7.5925
_cell_length_c 11.1749
_cell_angle_alpha 90.00
_cell_angle_beta 90.00
_cell_angle_gamma 72.22
_space_group_name_H-M_alt 'P 1'
_space_group_IT_number 1
loop_
_space_group_symop_operation_xyz
'x,y,z'
loop_
_atom_site_label
_atom_site_type_symbol
_atom_site_fract_x
_atom_site_fract_y
_atom_site_fract_z
K1 K 0.0314 0.5407 0.7500
K2 K 0.4593 0.9686 0.7500
K3 K 0.5407 0.0314 0.2500
K4 K 0.9686 0.4593 0.2500
Pt1 Pt 0.5000 0.5000 0.0000
Pt2 Pt 0.5000 0.5000 0.5000
I1 I 0.2033 0.7967 0.5320
I2 I 0.2033 0.7967 0.9680
I3 I 0.2836 0.2836 0.0000
I4 I 0.2836 0.2836 0.5000
I5 I 0.4496 0.5504 0.2500
I6 I 0.5504 0.4496 0.7500
I7 I 0.7164 0.7164 0.0000
I8 I 0.7164 0.7164 0.5000
I9 I 0.7967 0.2033 0.0320
I10 I 0.7967 0.2033 0.4680
# raw total energy	-34.705	eV/atom
# raw formation energy	-0.89	eV per atom
# spin magnetization	0.0	μB per cell
# calculated volume	38.3	A^3/atom

---

Record 3
# Fe2PdWI, PBEsol geometry, DFT meta-GGA SCAN
data_Fe2PdWI
_cell_length_a 4.4406
_cell_length_b 4.4406
_cell_length_c 5.2024
_cell_angle_alpha 90.00
_cell_angle_beta 90.00
_cell_angle_gamma 90.00
_space_group_name_H-M_alt 'P 1'
_space_group_IT_number 1
loop_
_space_group_symop_operation_xyz
'x,y,z'
loop_
_atom_site_label
_atom_site_type_symbol
_atom_site_fract_x
_atom_site_fract_y
_atom_site_fract_z
Fe1 Fe 0.0000 0.5000 0.0000
Fe2 Fe 0.5000 0.0000 0.0000
Pd1 Pd 0.0000 0.0000 0.5000
W1 W 0.5000 0.5000 0.0000
I1 I 0.5000 0.5000 0.5000
# raw total energy	-33.387	eV/atom
# raw formation energy	1.71	eV per atom
# spin magnetization	5.0	μB per cell
# calculated volume	20.5	A^3/atom

---

Record 4
# BeReOs2, PBEsol geometry, DFT meta-GGA SCAN
data_BeReOs2
_cell_length_a 2.7913
_cell_length_b 2.7913
_cell_length_c 6.4298
_cell_angle_alpha 90.00
_cell_angle_beta 90.00
_cell_angle_gamma 90.00
_space_group_name_H-M_alt 'P 1'
_space_group_IT_number 1
loop_
_space_group_symop_operation_xyz
'x,y,z'
loop_
_atom_site_label
_atom_site_type_symbol
_atom_site_fract_x
_atom_site_fract_y
_atom_site_fract_z
Be1 Be 0.0000 0.0000 0.0000
Re1 Re 0.0000 0.0000 0.5000
Os1 Os 0.5000 0.5000 0.2171
Os2 Os 0.5000 0.5000 0.7829
# raw total energy	-54.956	eV/atom
# spin magnetization	0.0	μB per cell
# calculated volume	12.5	A^3/atom